# SnBRuRh

A relaxed structure of SnBRuRh (PBE, Alexandria via LeMat-Bulk).

The structure in POSCAR format:
```
SnBRuRh
1.0
5.3530 -1.5052 0.0000
5.3530 1.5052 0.0000
-1.3576 0.0000 3.8173
Sn B Ru Rh
1 1 1 1
direct
0.0000 0.0000 0.0000 Sn
0.7651 0.7651 0.4665 B
0.3933 0.3933 0.4085 Ru
0.1732 0.1732 0.6433 Rh
```

Computed properties:
The distance to the lowest polymorph of the same formula comes out at 17.0 kJ/mol of atoms. The calculation puts the formation energy at -0.038 eV per atom. The crystal system is monoclinic.

---

# YIn2Tc2

A relaxed structure of YIn2Tc2 (PBE, Alexandria via LeMat-Bulk).

The structure in POSCAR format:
```
YIn2Tc2
1.0
8.0232 0.0000 0.0000
0.0000 8.0232 0.0000
0.0000 0.0000 3.1422
Y In Tc
2 4 4
direct
0.0000 0.0000 0.0000 Y
0.5000 0.5000 0.0000 Y
0.1832 0.3168 0.5000 In
0.3168 0.8168 0.5000 In
0.6832 0.1832 0.5000 In
0.8168 0.6832 0.5000 In
0.1060 0.6060 0.0000 Tc
0.3940 0.1060 0.0000 Tc
0.6060 0.8940 0.0000 Tc
0.8940 0.3940 0.0000 Tc
```

Computed properties:
The calculation puts the formation energy at 0.123 eV per atom. The crystal system is tetragonal.

---

# InPCO2

A relaxed structure of InPCO2 (PBE, Alexandria via LeMat-Bulk).

The structure in POSCAR format:
```
InPCO2
1.0
3.8831 0.0000 0.0000
0.0000 3.8831 0.0000
0.0000 0.0000 6.5552
In P C O
1 1 1 2
direct
0.0000 0.0000 0.0000 In
0.0000 0.0000 0.5000 P
0.5000 0.5000 0.5000 C
0.0000 0.5000 0.0000 O
0.5000 0.0000 0.0000 O
```

Computed properties:
The distance to the lowest polymorph of the same formula comes out at 64.0 kJ/mol of atoms. The value obtained for the uncorrected formation energy is 1.4377 eV per atom. The crystal system is tetragonal.

---

Computed calculated density (g/cm3) in order:
9.0; 8.4; 3.2
Computed total magnetization (μB per formula unit) in order:
0.00; 0.38; 1.11